(1)
Compound: Ba2NaMgCl
Source: the Alexandria database
Functional: PBE
Structure: relaxed

Cell: 6.305 6.305 5.267 Å, 90.00 90.00 90.00°
Positions (direct):
1 Ba 0.000 0.500 0.000
2 Ba 0.500 0.000 0.000
3 Na 0.000 0.000 0.500
4 Mg 0.500 0.500 0.500
5 Cl 0.000 0.000 0.000

## Properties
Formation energy from raw total energies in meV per atom: -619.0
V in A^3/atom: 41.87
Density of states at the Fermi level in states/eV/f.u.: 5.8
Space-group type: No. 123

(2)
Compound: BaNa2MgCl6
Source: the Alexandria database
Functional: PBE
Structure: relaxed

Cell: 7.460 7.460 6.239 Å, 90.00 90.00 90.00°
Positions (direct):
1 Ba 0.000 0.000 0.000
2 Na 0.000 0.500 0.332
3 Na 0.500 0.000 0.332
4 Mg 0.500 0.500 0.040
5 Cl 0.000 0.000 0.526
6 Cl 0.273 0.273 0.158
7 Cl 0.273 0.727 0.158
8 Cl 0.500 0.500 0.670
9 Cl 0.727 0.273 0.158
10 Cl 0.727 0.727 0.158

## Properties
Formation energy from raw total energies in meV per atom: -1897.3
V in A^3/atom: 34.72
Density of states at the Fermi level in states/eV/f.u.: 0.0
Space-group type: No. 99

(3)
Compound: BaMgOs2Cl
Source: the Alexandria database
Functional: PBE
Structure: relaxed

Cell: 4.573 4.573 5.431 Å, 90.00 90.00 90.00°
Positions (direct):
1 Ba 0.000 0.000 0.000
2 Mg 0.500 0.500 0.000
3 Os 0.000 0.500 0.500
4 Os 0.500 0.000 0.500
5 Cl 0.000 0.000 0.500

## Properties
Formation energy from raw total energies in meV per atom: 1231.5
V in A^3/atom: 22.71
Density of states at the Fermi level in states/eV/f.u.: 4.8
Space-group type: No. 123

(4)
Compound: BaMgP2Cl
Source: the Alexandria database
Functional: PBE
Structure: relaxed

Cell: 6.273 6.273 5.811 Å, 90.00 90.00 90.00°
Positions (direct):
1 Ba 0.000 0.000 0.000
2 Mg 0.500 0.500 0.500
3 P 0.000 0.500 0.000
4 P 0.500 0.000 0.000
5 Cl 0.000 0.000 0.500

## Properties
Formation energy from raw total energies in meV per atom: 451.7
Energy relative to the lowest polymorph listed for this composition in meV/atom: 1087
V in A^3/atom: 45.74
Density of states at the Fermi level in states/eV/f.u.: 3.6
Space-group type: No. 123

(5)
Compound: BaMgP2Cl
Source: the Alexandria database
Functional: PBE
Structure: relaxed

Cell: 4.853 4.853 5.510 Å, 90.00 90.00 90.00°
Positions (direct):
1 Ba 0.000 0.000 0.000
2 Mg 0.500 0.500 0.500
3 P 0.000 0.500 0.500
4 P 0.500 0.000 0.500
5 Cl 0.500 0.500 0.000

## Properties
Formation energy from raw total energies in meV per atom: -634.8
Energy relative to the lowest polymorph listed for this composition in meV/atom: 0
V in A^3/atom: 25.95
Density of states at the Fermi level in states/eV/f.u.: 4.8
Space-group type: No. 123

(6)
Compound: BaMgPb2Cl8
Source: the Alexandria database
Functional: PBE
Structure: relaxed

Cell: 6.522 8.785 6.680 Å, 90.00 91.10 90.00°
Positions (direct):
1 Ba 0.000 0.000 0.000
2 Mg 0.000 0.500 0.000
3 Pb 0.500 0.269 0.500
4 Pb 0.500 0.731 0.500
5 Cl 0.218 0.291 0.155
6 Cl 0.218 0.709 0.155
7 Cl 0.245 0.500 0.689
8 Cl 0.276 0.000 0.637
9 Cl 0.724 0.000 0.363
10 Cl 0.755 0.500 0.311
11 Cl 0.782 0.291 0.845
12 Cl 0.782 0.709 0.845

## Properties
Formation energy from raw total energies in meV per atom: -1630.9
V in A^3/atom: 31.89
Density of states at the Fermi level in states/eV/f.u.: 0.0
Space-group type: No. 10